Entry 1:
# PBE-GGA Tb3Pm2Hg6, relaxed
data_Tb3Pm2Hg6
_cell_length_a 5.100
_cell_length_b 5.100
_cell_length_c 27.109
_cell_angle_alpha 90.00
_cell_angle_beta 90.00
_cell_angle_gamma 90.00
_space_group_name_H-M_alt 'I 4/m m m'
_space_group_IT_number 139
_space_group_name_Hall '-I 4 2'
loop_
_atom_site_label
_atom_site_fract_x
_atom_site_fract_y
_atom_site_fract_z
Tb1 0.000 0.000 0.000
Tb2 0.000 0.000 0.134
Pm1 0.000 0.000 0.366
Hg1 0.000 0.000 0.249
Hg2 0.000 0.500 0.065
# **Total moment**: 0.03 μB/atom
# **Calculated volume**: 705.2 Å³ per cell
# **Mass density**: 9279 kg/m³
# **Formation energy from the elements**: -0.11 eV/atom
# **N(E_F)**: 0.8247 states/eV/atom

=====

Entry 2:
# PBE-GGA Tb3Pm2Hg4, relaxed
data_Tb3Pm2Hg4
_cell_length_a 7.009
_cell_length_b 17.991
_cell_length_c 8.196
_cell_angle_alpha 90.00
_cell_angle_beta 90.00
_cell_angle_gamma 90.00
_space_group_name_H-M_alt 'C m c e'
_space_group_IT_number 64
_space_group_name_Hall '-C 2ac 2'
loop_
_atom_site_label
_atom_site_fract_x
_atom_site_fract_y
_atom_site_fract_z
Tb1 0.000 0.000 0.000
Tb2 0.250 0.239 0.250
Pm1 0.000 0.095 0.588
Hg1 0.000 0.167 0.970
Hg2 0.250 0.066 0.250
# **Total moment**: 0.00 μB/atom
# **Calculated volume**: 1033.5 Å³ per cell
# **Mass density**: 10085 kg/m³
# **Formation energy from the elements**: -0.34 eV/atom
# **N(E_F)**: 0.9526 states/eV/atom

=====

Entry 3:
# PBE-GGA Tb3Pm2Hg2, relaxed
data_Tb3Pm2Hg2
_cell_length_a 3.626
_cell_length_b 32.053
_cell_length_c 3.611
_cell_angle_alpha 90.00
_cell_angle_beta 90.00
_cell_angle_gamma 90.00
_space_group_name_H-M_alt 'C m m m'
_space_group_IT_number 65
_space_group_name_Hall '-C 2 2'
loop_
_atom_site_label
_atom_site_fract_x
_atom_site_fract_y
_atom_site_fract_z
Tb1 0.000 0.000 0.000
Tb2 0.000 0.123 0.000
Pm1 0.000 0.298 0.500
Hg1 0.000 0.439 0.500
# **Total moment**: 0.03 μB/atom
# **Calculated volume**: 419.7 Å³ per cell
# **Mass density**: 9243 kg/m³
# **Formation energy from the elements**: -0.20 eV/atom
# **N(E_F)**: 1.3653 states/eV/atom

=====

Entry 4:
# PBE-GGA Tb6Pm2Hg, relaxed
data_Tb6Pm2Hg
_cell_length_a 9.435
_cell_length_b 17.454
_cell_length_c 3.553
_cell_angle_alpha 90.00
_cell_angle_beta 90.00
_cell_angle_gamma 90.00
_space_group_name_H-M_alt 'C m m m'
_space_group_IT_number 65
_space_group_name_Hall '-C 2 2'
loop_
_atom_site_label
_atom_site_fract_x
_atom_site_fract_y
_atom_site_fract_z
Tb1 0.175 0.162 0.000
Tb2 0.210 0.500 0.500
Pm1 0.000 0.321 0.500
Hg1 0.000 0.000 0.000
# **Total moment**: 0.00 μB/atom
# **Calculated volume**: 585.2 Å³ per cell
# **Mass density**: 8196 kg/m³
# **Formation energy from the elements**: 0.04 eV/atom
# **N(E_F)**: 1.3943 states/eV/atom

=====

Entry 5:
# PBE-GGA Tb3Pm2Hg2, relaxed
data_Tb3Pm2Hg2
_cell_length_a 9.416
_cell_length_b 5.432
_cell_length_c 8.607
_cell_angle_alpha 90.00
_cell_angle_beta 111.31
_cell_angle_gamma 90.00
_space_group_name_H-M_alt 'C 1 2/m 1'
_space_group_IT_number 12
loop_
_space_group_symop_operation_xyz
'x,y,z'
'-x,-y,-z'
'-x,y,-z'
'x,-y,z'
'x+1/2,y+1/2,z'
'-x+1/2,-y+1/2,-z'
'-x+1/2,y+1/2,-z'
'x+1/2,-y+1/2,z'
loop_
_atom_site_label
_atom_site_fract_x
_atom_site_fract_y
_atom_site_fract_z
Tb1 0.000 0.000 0.000
Tb2 0.158 0.000 0.474
Pm1 0.076 0.500 0.727
Hg1 0.214 0.500 0.141
# **Total moment**: 0.00 μB/atom
# **Calculated volume**: 410.1 Å³ per cell
# **Mass density**: 9459 kg/m³
# **Formation energy from the elements**: -0.24 eV/atom
# **N(E_F)**: 1.0579 states/eV/atom

=====

Entry 6:
# PBE-GGA TbPm4Hg4, relaxed
data_TbPm4Hg4
_cell_length_a 9.596
_cell_length_b 9.596
_cell_length_c 5.703
_cell_angle_alpha 90.00
_cell_angle_beta 90.00
_cell_angle_gamma 90.00
_space_group_name_H-M_alt 'P 42/n'
_space_group_IT_number 86
loop_
_space_group_symop_operation_xyz
'x,y,z'
'-x,-y,-z'
'-y,x+1/2,z+1/2'
'y,-x+1/2,-z+1/2'
'-x+1/2,-y+1/2,z'
'x+1/2,y+1/2,-z'
'y+1/2,-x,z+1/2'
'-y+1/2,x,-z+1/2'
loop_
_atom_site_label
_atom_site_fract_x
_atom_site_fract_y
_atom_site_fract_z
Tb1 0.250 0.250 0.250
Pm1 0.093 0.837 0.644
Hg1 0.050 0.147 0.859
# **Total moment**: 0.00 μB/atom
# **Calculated volume**: 525.1 Å³ per cell
# **Mass density**: 9748 kg/m³
# **Formation energy from the elements**: -0.26 eV/atom
# **N(E_F)**: 0.7678 states/eV/atom

=====

Entry 7:
# PBE-GGA Tb5Pm4Hg, relaxed
data_Tb5Pm4Hg
_cell_length_a 3.621
_cell_length_b 3.621
_cell_length_c 24.255
_cell_angle_alpha 90.00
_cell_angle_beta 90.00
_cell_angle_gamma 90.00
_space_group_name_H-M_alt 'P 4/m m m'
_space_group_IT_number 123
_space_group_name_Hall '-P 4 2'
loop_
_atom_site_label
_atom_site_fract_x
_atom_site_fract_y
_atom_site_fract_z
Tb1 0.000 0.000 0.000
Tb2 0.000 0.000 0.209
Tb3 0.000 0.000 0.418
Pm1 0.500 0.500 0.104
Pm2 0.500 0.500 0.314
Hg1 0.500 0.500 0.500
# **Total moment**: 0.00 μB/atom
# **Calculated volume**: 318.0 Å³ per cell
# **Mass density**: 8225 kg/m³
# **Formation energy from the elements**: -0.08 eV/atom
# **N(E_F)**: 1.3059 states/eV/atom

=====

Entry 8:
# PBE-GGA Tb3PmHg3, relaxed
data_Tb3PmHg3
_cell_length_a 9.3840
_cell_length_b 9.3840
_cell_length_c 5.1592
_cell_angle_alpha 90.00
_cell_angle_beta 90.00
_cell_angle_gamma 120.00
_space_group_name_H-M_alt 'P 63/m'
_space_group_IT_number 176
_space_group_name_Hall '-P 6c'
loop_
_atom_site_label
_atom_site_fract_x
_atom_site_fract_y
_atom_site_fract_z
Tb1 0.0096 0.2457 0.2500
Pm1 0.3333 0.6667 0.7500
Hg1 0.0568 0.6135 0.2500
# **Total moment**: 0.00 μB/atom
# **Calculated volume**: 393.5 Å³ per cell
# **Mass density**: 10328 kg/m³
# **Formation energy from the elements**: -0.31 eV/atom
# **N(E_F)**: 1.2671 states/eV/atom

=====

- Look up the calculated volume of the seventh one.
  318.0 Å³ per cell